1.
Below is a relaxed SmPaGe2 crystal, with properties calculated at the GGA-PBE level.

The value obtained for the excess energy over the best structure of this formula in the dataset is 0.000 eV/atom. The calculation puts the formation energy at -0.62 eV per atom.

The space group is R-3m (No. 166, hexagonal axes) and the conventional cell measures 4.2049, 4.2049 and 20.4321 Å, with angles of 90.00, 90.00 and 120.00 degrees. Symmetry generates all atoms from Sm at (0.0000, 0.0000, 0.0000), Pa at (0.0000, 0.0000, 0.5000) and Ge at (0.0000, 0.0000, 0.2450).

2.
Below is a relaxed Er2ZnP crystal, with properties calculated at the GGA-PBE level.

The calculation puts the formation energy at -0.85 eV per atom.

The space group is R-3m (No. 166, hexagonal axes) and the conventional cell measures 3.8878, 3.8878 and 21.5072 Å, with angles of 90.00, 90.00 and 120.00 degrees. Symmetry generates all atoms from Er at (0.0000, 0.0000, 0.2396), Zn at (0.0000, 0.0000, 0.0000) and P at (0.0000, 0.0000, 0.5000).

3.
Below is a relaxed Nb2CSe crystal, with properties calculated at the GGA-PBE level.

The value obtained for the uncorrected formation energy is -0.60 eV/atom.

The space group is C2/m (No. 12) and the conventional cell measures 5.7825, 3.3370 and 6.5416 Å, with angles of 90.00, 107.29 and 90.00 degrees. Symmetry generates all atoms from Nb at (0.2256, 0.0000, 0.1762), C at (0.0000, 0.5000, 0.0000) and Se at (0.0000, 0.0000, 0.5000).

4.
Below is a relaxed TmTiAs2Rh5 crystal, with properties calculated at the GGA-PBE level.

The calculation puts the formation energy at -0.15 eV per atom.

The space group is P4/mmm (No. 123) and the conventional cell measures 3.9714, 3.9714 and 12.0032 Å, with angles of 90.00, 90.00 and 90.00 degrees. Symmetry generates all atoms from Tm at (0.0000, 0.0000, 0.0000), Ti at (0.5000, 0.5000, 0.5000), As at (0.5000, 0.5000, 0.2901), Rh at (0.0000, 0.5000, 0.1722) and Rh at (0.5000, 0.5000, 0.0000).

5.
Below is a relaxed TlAgOs2 crystal, with properties calculated at the GGA-PBE level.

The value obtained for the excess energy over the best structure of this formula in the dataset is 0.244 eV/atom. The calculation puts the formation energy at 0.76 eV per atom.

The space group is Cm (No. 8) and the conventional cell measures 7.9530, 2.8041 and 7.5178 Å, with angles of 90.00, 104.00 and 90.00 degrees. Symmetry generates all atoms from Tl at (0.0000, 0.0000, 0.0000), Ag at (0.2408, 0.0000, 0.7172), Os at (0.2219, 0.5000, 0.3085) and Os at (0.4909, 0.0000, 0.4497).

6.
Below is a relaxed Th2CdBi crystal, with properties calculated at the GGA-PBE level.

The value obtained for the excess energy over the best structure of this formula in the dataset is 0.099 eV/atom. The calculation puts the formation energy at -0.19 eV per atom.

The space group is Fm-3m (No. 225) and the conventional cell measures 7.8181, 7.8181 and 7.8181 Å, with angles of 90.00, 90.00 and 90.00 degrees. Symmetry generates all atoms from Th at (0.2500, 0.2500, 0.2500), Cd at (0.0000, 0.0000, 0.0000) and Bi at (0.0000, 0.0000, 0.5000).

7.
Below is a relaxed MgCo2As crystal, with properties calculated at the GGA-PBE level.

The calculation puts the formation energy at 0.00 eV per atom.

The space group is Cm (No. 8) and the conventional cell measures 8.7880, 3.0128 and 4.1736 Å, with angles of 90.00, 108.16 and 90.00 degrees. Symmetry generates all atoms from Mg at (0.0000, 0.0000, 0.0000), Co at (0.2478, 0.0000, 0.8293), Co at (0.4926, 0.0000, 0.4860) and As at (0.2665, 0.5000, 0.3616).

8.
Below is a relaxed Mn3NbNi12 crystal, with properties calculated at the GGA-PBE level.

The calculation puts the formation energy at -0.15 eV per atom.

The space group is P4/mmm (No. 123) and the conventional cell measures 3.6031, 3.6031 and 14.3780 Å, with angles of 90.00, 90.00 and 90.00 degrees. Symmetry generates all atoms from Mn at (0.0000, 0.0000, 0.0000), Mn at (0.0000, 0.0000, 0.2442), Nb at (0.0000, 0.0000, 0.5000), Ni at (0.0000, 0.5000, 0.1228), Ni at (0.0000, 0.5000, 0.3713), Ni at (0.5000, 0.5000, 0.0000), Ni at (0.5000, 0.5000, 0.2477) and Ni at (0.5000, 0.5000, 0.5000).

9.
Below is a relaxed CoNi2Mo crystal, with properties calculated at the GGA-PBE level.

The value obtained for the excess energy over the best structure of this formula in the dataset is 0.190 eV/atom. The calculation puts the formation energy at 0.14 eV per atom.

The space group is R-3m (No. 166, hexagonal axes) and the conventional cell measures 2.5986, 2.5986 and 25.2718 Å, with angles of 90.00, 90.00 and 120.00 degrees. Symmetry generates all atoms from Co at (0.0000, 0.0000, 0.0000), Ni at (0.0000, 0.0000, 0.2541) and Mo at (0.0000, 0.0000, 0.5000).

10.
Below is a relaxed Ag2As2I crystal, with properties calculated at the GGA-PBE level.

The value obtained for the excess energy over the best structure of this formula in the dataset is 0.111 eV/atom. The value obtained for the uncorrected formation energy is 0.30 eV/atom.

The space group is P4/mbm (No. 127) and the conventional cell measures 8.5843, 8.5843 and 3.1154 Å, with angles of 90.00, 90.00 and 90.00 degrees. Symmetry generates all atoms from Ag at (0.1709, 0.3291, 0.0000), As at (0.1068, 0.6068, 0.5000) and I at (0.0000, 0.0000, 0.0000).

11.
Below is a relaxed BeFe5 crystal, with properties calculated at the GGA-PBE level.

The value obtained for the excess energy over the best structure of this formula in the dataset is 0.222 eV/atom. The calculation puts the formation energy at 0.20 eV per atom.

The space group is F-43m (No. 216) and the conventional cell measures 6.5114, 6.5114 and 6.5114 Å, with angles of 90.00, 90.00 and 90.00 degrees. Symmetry generates all atoms from Be at (0.0000, 0.0000, 0.0000), Fe at (0.1256, 0.1256, 0.6256) and Fe at (0.2500, 0.2500, 0.2500).

12.
Below is a relaxed Dy8Er2Al crystal, with properties calculated at the GGA-PBE level.

The calculation puts the formation energy at -0.04 eV per atom.

The space group is C2/m (No. 12) and the conventional cell measures 19.0317, 5.4532 and 6.4043 Å, with angles of 90.00, 93.60 and 90.00 degrees. Symmetry generates all atoms from Dy at (0.0423, 0.0000, 0.2531), Dy at (0.0787, 0.5000, 0.6013), Dy at (0.1556, 0.0000, 0.8111), Dy at (0.1579, 0.5000, 0.1203), Er at (0.2405, 0.0000, 0.3341) and Al at (0.0000, 0.5000, 0.0000).

13.
Below is a relaxed ZnCuRh2 crystal, with properties calculated at the GGA-PBE level.

The calculation puts the formation energy at 0.32 eV per atom.

The space group is I-42d (No. 122) and the conventional cell measures 6.8153, 6.8153 and 5.1834 Å, with angles of 90.00, 90.00 and 90.00 degrees. Symmetry generates all atoms from Zn at (0.0000, 0.0000, 0.0000), Cu at (0.0000, 0.0000, 0.5000) and Rh at (0.2487, 0.7500, 0.6250).

14.
Below is a relaxed K4Hg12Pb crystal, with properties calculated at the GGA-PBE level.

The calculation puts the formation energy at -0.18 eV per atom.

The space group is Im-3m (No. 229) and the conventional cell measures 10.2013, 10.2013 and 10.2013 Å, with angles of 90.00, 90.00 and 90.00 degrees. Symmetry generates all atoms from K at (0.2500, 0.2500, 0.2500), Hg at (0.0000, 0.0000, 0.3102), Hg at (0.0000, 0.2500, 0.5000) and Pb at (0.0000, 0.0000, 0.0000).

15.
Below is a relaxed Tb3NpAs4 crystal, with properties calculated at the GGA-PBE level.

The calculation puts the formation energy at -1.32 eV per atom.

The space group is Cmmm (No. 65) and the conventional cell measures 8.2704, 11.6623 and 4.1224 Å, with angles of 90.00, 90.00 and 90.00 degrees. Symmetry generates all atoms from Tb at (0.0000, 0.0000, 0.0000), Tb at (0.2500, 0.2500, 0.5000), Np at (0.0000, 0.5000, 0.0000), As at (0.0000, 0.2523, 0.0000) and As at (0.2473, 0.5000, 0.5000).

16.
Below is a relaxed Hf2TlBC crystal, with properties calculated at the GGA-PBE level.

The calculation puts the formation energy at 0.10 eV per atom.

The space group is P4/mmm (No. 123) and the conventional cell measures 4.9813, 4.9813 and 3.0850 Å, with angles of 90.00, 90.00 and 90.00 degrees. Symmetry generates all atoms from Hf at (0.0000, 0.5000, 0.0000), Tl at (0.0000, 0.0000, 0.5000), B at (0.5000, 0.5000, 0.5000) and C at (0.5000, 0.5000, 0.0000).

17.
Below is a relaxed ThMnAlGe2 crystal, with properties calculated at the GGA-PBE level.

The calculation puts the formation energy at -0.12 eV per atom.

The space group is Cmme (No. 67) and the conventional cell measures 5.6481, 9.2629 and 8.1624 Å, with angles of 90.00, 90.00 and 90.00 degrees. Symmetry generates all atoms from Th at (0.0000, 0.2500, 0.1966), Mn at (0.2500, 0.0000, 0.0000), Al at (0.0000, 0.0000, 0.5000) and Ge at (0.0000, 0.1077, 0.7991).

18.
Below is a relaxed Ce6HoSe12 crystal, with properties calculated at the GGA-PBE level.

The value obtained for the uncorrected formation energy is -1.73 eV/atom.

The space group is R-3 (No. 148, hexagonal axes) and the conventional cell measures 12.8402, 12.8402 and 11.8313 Å, with angles of 90.00, 90.00 and 120.00 degrees. Symmetry generates all atoms from Ce at (0.0511, 0.2697, 0.1465), Ho at (0.0000, 0.0000, 0.5000), Se at (0.0352, 0.2180, 0.8953) and Se at (0.0477, 0.2104, 0.3856).

19.
Below is a relaxed La2SiAu crystal, with properties calculated at the GGA-PBE level.

The value obtained for the uncorrected formation energy is -0.64 eV/atom.

The space group is Imm2 (No. 44) and the conventional cell measures 4.0462, 4.6442 and 10.8217 Å, with angles of 90.00, 90.00 and 90.00 degrees. Symmetry generates all atoms from La at (0.0000, 0.0000, 0.0000), La at (0.0000, 0.5000, 0.2197), Si at (0.0000, 0.0000, 0.4352) and Au at (0.0000, 0.5000, 0.7678).

20.
Below is a relaxed EuPuGaSn crystal, with properties calculated at the GGA-PBE level.

The calculation puts the formation energy at -0.36 eV per atom.

The space group is F-43m (No. 216) and the conventional cell measures 7.5385, 7.5385 and 7.5385 Å, with angles of 90.00, 90.00 and 90.00 degrees. Symmetry generates all atoms from Eu at (0.0000, 0.0000, 0.0000), Pu at (0.0000, 0.0000, 0.5000), Ga at (0.2500, 0.2500, 0.7500) and Sn at (0.2500, 0.2500, 0.2500).

21.
Below is a relaxed Ag3AsCl crystal, with properties calculated at the GGA-PBE level.

The value obtained for the excess energy over the best structure of this formula in the dataset is 0.000 eV/atom. The value obtained for the uncorrected formation energy is 0.21 eV/atom.

The space group is Pm-3m (No. 221) and the conventional cell measures 4.9937, 4.9937 and 4.9937 Å, with angles of 90.00, 90.00 and 90.00 degrees. Symmetry generates all atoms from Ag at (0.0000, 0.0000, 0.5000), As at (0.0000, 0.0000, 0.0000) and Cl at (0.5000, 0.5000, 0.5000).

22.
Below is a relaxed ZrTa3Pd crystal, with properties calculated at the GGA-PBE level.

The value obtained for the excess energy over the best structure of this formula in the dataset is 0.765 eV/atom. The calculation puts the formation energy at 1.96 eV per atom.

The space group is Pm-3m (No. 221) and the conventional cell measures 4.8461, 4.8461 and 4.8461 Å, with angles of 90.00, 90.00 and 90.00 degrees. Symmetry generates all atoms from Zr at (0.0000, 0.0000, 0.0000), Ta at (0.0000, 0.0000, 0.5000) and Pd at (0.5000, 0.5000, 0.5000).